Hf3ZrGa4 | PBE-GGA | optimized geometry

a = 8.5835 Å, b = 6.0248 Å, c = 5.8994 Å
α = 90.00°, β = 90.00°, γ = 90.00°
Fractional coordinates of all 16 atoms:
Hf: 0.0000 0.0000 0.0000
Hf: 0.2500 0.2481 0.2500
Hf: 0.2500 0.7519 0.7500
Hf: 0.5000 0.0000 0.5000
Hf: 0.7500 0.2481 0.2500
Hf: 0.7500 0.7519 0.7500
Zr: 0.0000 0.5000 0.0000
Zr: 0.5000 0.5000 0.5000
Ga: 0.0000 0.0000 0.5000
Ga: 0.0000 0.5000 0.5000
Ga: 0.2500 0.2485 0.7500
Ga: 0.2500 0.7515 0.2500
Ga: 0.5000 0.0000 0.0000
Ga: 0.5000 0.5000 0.0000
Ga: 0.7500 0.2485 0.7500
Ga: 0.7500 0.7515 0.2500

As for the total energy: -6.6044 eV per atom. As for the energy of formation from the pure elements: -290 meV per atom. For the total magnetization, the calculation gives 0.000 μB/atom.